The following is a PBE calculation of CdMoRu2 after structural relaxation, from Alexandria via LeMat-Bulk.

abc: 9.323 9.323 9.323
angles: 17.42 17.42 17.42
Element x y z (fractional)
Cd: 0.000 0.000 0.000
Mo: 0.500 0.500 0.500
Ru: 0.244 0.244 0.244
Ru: 0.756 0.756 0.756

Values from the calculation:
Uncorrected energy in Ha/atom: -0.27196
M_tot in μB/atom: 0.0000
SG: No. 166